(1)
Material: NdScPBr2
Method: DFT, PBE-GGA
State: optimized geometry

As for the total energy: -5.649 eV/atom. The total moment is 0.001 μB/f.u.

Cell and atoms, written as CIF:
```
data_NdScPBr2
_chemical_formula_sum 'Nd1 Sc1 P1 Br2'
_symmetry_space_group_name_H-M 'P 3 m 1'
_symmetry_Int_Tables_number 156
_symmetry_space_group_name_Hall 'P 3 -2"'
_cell_length_a 3.9644
_cell_length_b 3.9644
_cell_length_c 10.5136
_cell_angle_alpha 90.00
_cell_angle_beta 90.00
_cell_angle_gamma 120.00
loop_
_atom_site_label
_atom_site_type_symbol
_atom_site_fract_x
_atom_site_fract_y
_atom_site_fract_z
_atom_site_occupancy
Nd1 Nd 0.0000 0.0000 0.0000 1
Sc1 Sc 0.3333 0.6667 0.7125 1
P1 P 0.6667 0.3333 0.8384 1
Br1 Br 0.0000 0.0000 0.5526 1
Br2 Br 0.3333 0.6667 0.1854 1
```

---

(2)
Material: NdTmPBr2
Method: DFT, PBE-GGA
State: optimized geometry

As for the total energy: -5.346 eV/atom. The total moment is 0.007 μB/f.u.

Cell and atoms, written as CIF:
```
data_NdTmPBr2
_chemical_formula_sum 'Nd1 Tm1 P1 Br2'
_symmetry_space_group_name_H-M 'P 3 m 1'
_symmetry_Int_Tables_number 156
_symmetry_space_group_name_Hall 'P 3 -2"'
_cell_length_a 4.0472
_cell_length_b 4.0472
_cell_length_c 10.6617
_cell_angle_alpha 90.00
_cell_angle_beta 90.00
_cell_angle_gamma 120.00
loop_
_atom_site_label
_atom_site_type_symbol
_atom_site_fract_x
_atom_site_fract_y
_atom_site_fract_z
_atom_site_occupancy
Nd1 Nd 0.0000 0.0000 0.0000 1
Tm1 Tm 0.6667 0.3333 0.2902 1
P1 P 0.3333 0.6667 0.1564 1
Br1 Br 0.0000 0.0000 0.4558 1
Br2 Br 0.6667 0.3333 0.8197 1
```

---

(3)
Material: NdUPBr2
Method: DFT, PBE-GGA
State: optimized geometry

As for the total energy: -6.349 eV/atom. The total moment is 2.762 μB/f.u.

Cell and atoms, written as CIF:
```
data_NdUPBr2
_chemical_formula_sum 'Nd1 U1 P1 Br2'
_symmetry_space_group_name_H-M 'P 3 m 1'
_symmetry_Int_Tables_number 156
_symmetry_space_group_name_Hall 'P 3 -2"'
_cell_length_a 4.0180
_cell_length_b 4.0180
_cell_length_c 10.9299
_cell_angle_alpha 90.00
_cell_angle_beta 90.00
_cell_angle_gamma 120.00
loop_
_atom_site_label
_atom_site_type_symbol
_atom_site_fract_x
_atom_site_fract_y
_atom_site_fract_z
_atom_site_occupancy
Nd1 Nd 0.0000 0.0000 0.0000 1
U1 U 0.3333 0.6667 0.7071 1
P1 P 0.6667 0.3333 0.8474 1
Br1 Br 0.0000 0.0000 0.5352 1
Br2 Br 0.3333 0.6667 0.1776 1
```

---

(4)
Material: NdZrPBr2
Method: DFT, PBE-GGA
State: optimized geometry

As for the total energy: -5.952 eV/atom. The total moment is 0.000 μB/f.u.

Cell and atoms, written as CIF:
```
data_NdZrPBr2
_chemical_formula_sum 'Nd1 Zr1 P1 Br2'
_symmetry_space_group_name_H-M 'P 3 m 1'
_symmetry_Int_Tables_number 156
_symmetry_space_group_name_Hall 'P 3 -2"'
_cell_length_a 3.9591
_cell_length_b 3.9591
_cell_length_c 10.4759
_cell_angle_alpha 90.00
_cell_angle_beta 90.00
_cell_angle_gamma 120.00
loop_
_atom_site_label
_atom_site_type_symbol
_atom_site_fract_x
_atom_site_fract_y
_atom_site_fract_z
_atom_site_occupancy
Nd1 Nd 0.0000 0.0000 0.0000 1
Zr1 Zr 0.6667 0.3333 0.2784 1
P1 P 0.3333 0.6667 0.1577 1
Br1 Br 0.0000 0.0000 0.4489 1
Br2 Br 0.6667 0.3333 0.8117 1
```

---

(5)
Material: PrNdBr6
Method: DFT, PBE-GGA
State: optimized geometry

As for the total energy: -4.323 eV/atom. The total moment is 0.003 μB/f.u.

Cell and atoms, written as CIF:
```
data_PrNdBr6
_chemical_formula_sum 'Pr2 Nd2 Br12'
_symmetry_space_group_name_H-M 'A m m 2'
_symmetry_Int_Tables_number 38
_symmetry_space_group_name_Hall 'A 2 -2'
_cell_length_a 9.211
_cell_length_b 4.136
_cell_length_c 12.969
_cell_angle_alpha 90.00
_cell_angle_beta 90.00
_cell_angle_gamma 90.00
loop_
_atom_site_label
_atom_site_type_symbol
_atom_site_fract_x
_atom_site_fract_y
_atom_site_fract_z
_atom_site_occupancy
Pr1 Pr 0.000 0.000 0.000 1
Nd1 Nd 0.500 0.000 0.513 1
Br1 Br 0.000 0.000 0.339 1
Br2 Br 0.186 0.000 0.611 1
Br3 Br 0.316 0.000 0.903 1
Br4 Br 0.500 0.000 0.172 1
```

---

(6)
Material: PrNdBr6
Method: DFT, PBE-GGA
State: optimized geometry

As for the total energy: -4.316 eV/atom. The total moment is 0.000 μB/f.u.

Cell and atoms, written as CIF:
```
data_PrNdBr6
_chemical_formula_sum 'Pr1 Nd1 Br6'
_symmetry_space_group_name_H-M 'P -6'
_symmetry_Int_Tables_number 174
_symmetry_space_group_name_Hall 'P -6'
_cell_length_a 7.8303
_cell_length_b 7.8303
_cell_length_c 4.5076
_cell_angle_alpha 90.00
_cell_angle_beta 90.00
_cell_angle_gamma 120.00
loop_
_atom_site_label
_atom_site_type_symbol
_atom_site_fract_x
_atom_site_fract_y
_atom_site_fract_z
_atom_site_occupancy
Pr1 Pr 0.0000 0.0000 0.0000 1
Nd1 Nd 0.3333 0.6667 0.5000 1
Br1 Br 0.0509 0.4198 0.0000 1
Br2 Br 0.2842 0.2493 0.5000 1
```

---

(7)
Material: PrNdSi2Br2
Method: DFT, PBE-GGA
State: optimized geometry

As for the total energy: -5.211 eV/atom. The total moment is 0.001 μB/f.u.

Cell and atoms, written as CIF:
```
data_PrNdSi2Br2
_chemical_formula_sum 'Pr1 Nd1 Si2 Br2'
_symmetry_space_group_name_H-M 'P 3 m 1'
_symmetry_Int_Tables_number 156
_symmetry_space_group_name_Hall 'P 3 -2"'
_cell_length_a 4.1317
_cell_length_b 4.1317
_cell_length_c 11.4935
_cell_angle_alpha 90.00
_cell_angle_beta 90.00
_cell_angle_gamma 120.00
loop_
_atom_site_label
_atom_site_type_symbol
_atom_site_fract_x
_atom_site_fract_y
_atom_site_fract_z
_atom_site_occupancy
Pr1 Pr 0.0000 0.0000 0.0000 1
Nd1 Nd 0.0000 0.0000 0.6483 1
Si1 Si 0.3333 0.6667 0.8293 1
Si2 Si 0.6667 0.3333 0.8183 1
Br1 Br 0.3333 0.6667 0.4831 1
Br2 Br 0.6667 0.3333 0.1654 1
```

---

(8)
Material: Nd2PtBr
Method: DFT, PBE-GGA
State: optimized geometry

As for the total energy: -5.557 eV/atom. The total moment is 0.034 μB/f.u.

Cell and atoms, written as CIF:
```
data_Nd2PtBr
_chemical_formula_sum 'Nd6 Pt3 Br3'
_symmetry_space_group_name_H-M 'R -3 m'
_symmetry_Int_Tables_number 166
_symmetry_space_group_name_Hall '-R 3 2"'
_cell_length_a 4.2207
_cell_length_b 4.2207
_cell_length_c 23.1837
_cell_angle_alpha 90.00
_cell_angle_beta 90.00
_cell_angle_gamma 120.00
loop_
_atom_site_label
_atom_site_type_symbol
_atom_site_fract_x
_atom_site_fract_y
_atom_site_fract_z
_atom_site_occupancy
Nd1 Nd 0.0000 0.0000 0.2327 1
Pt1 Pt 0.0000 0.0000 0.5000 1
Br1 Br 0.0000 0.0000 0.0000 1
```